1.
Here is a relaxed structure of CsPdBr3 from Alexandria. Energies are from PBE-GGA.

Geometry as POSCAR:
```
CsPdBr3
1.0
2.5781 -11.7672 0.0000
2.5781 11.7672 0.0000
0.0000 0.0000 6.2560
Br Cs Pd
6 2 2
Cartesian
3.8633 4.5905 1.5640
0.0000 0.0000 0.0000
0.0000 0.0000 3.1280
1.2929 -4.5905 4.6920
1.2929 4.5905 1.5640
3.8633 -4.5905 4.6920
2.5781 -8.4346 4.6920
2.5781 8.4346 1.5640
2.5781 0.0273 1.5640
2.5781 -0.0273 4.6920
```

Results
Density of states at the Fermi level: 6.8 states/eV per cell
Uncorrected energy: -2.62 eV/atom
V: 38.0 A^3/atom
Formation energy without anion corrections: -0.41 eV per atom
Crystal system: orthorhombic



2.
Here is a relaxed structure of La2YBe from Alexandria. Energies are from PBE-GGA.

Geometry as POSCAR:
```
La2YBe
1.0
-0.7603 -1.3258 6.0939
0.5718 -4.7375 -4.0866
3.2106 -1.3569 0.8748
Be Y La
1 1 2
Cartesian
1.8912 -3.0472 -1.6059
1.2252 -1.3414 3.4844
-0.0942 -3.0317 1.0036
0.0000 0.0000 0.0000
```

Results
Density of states at the Fermi level: 5.7 states/eV per cell
Uncorrected energy: -4.60 eV/atom
Formation energy from the elements: 407 meV per atom
V: 28.3 A^3/atom
Crystal system: monoclinic



3.
Here is a relaxed structure of Cs2SnAs from Alexandria. Energies are from PBE-GGA.

Geometry as POSCAR:
```
Cs2SnAs
1.0
-3.9775 -4.5757 -1.4983
-6.0845 0.6121 1.2677
-4.0912 0.8163 -4.6473
As Cs Sn
1 2 1
Cartesian
0.0000 0.0000 0.0000
-10.6149 -2.3605 -3.6584
-3.5383 -0.7868 -1.2195
-7.0766 -1.5737 -2.4390
```

Results
Density of states at the Fermi level: 2.7 states/eV per cell
Uncorrected energy: -2.36 eV/atom
Formation energy from the elements: 230 meV per atom
Distance to the lowest polymorph of the same formula: 0.388 eV/atom
V: 43.1 A^3/atom
Crystal system: cubic



4.
Here is a relaxed structure of AgIrW2 from Alexandria. Energies are from PBE-GGA.

Geometry as POSCAR:
```
AgIrW2
1.0
4.8661 -0.0024 -0.0055
4.0728 2.6628 -0.0055
0.7997 0.2380 4.9133
W Ag Ir
2 1 1
Cartesian
7.2508 2.1580 3.6736
8.9069 2.6509 0.0556
4.8801 1.4524 2.4654
2.5090 0.7467 1.1476
```

Results
Density of states at the Fermi level: 3.3 states/eV per cell
Uncorrected energy: -9.10 eV/atom
Formation energy from the elements: 307 meV per atom
Distance to the lowest polymorph of the same formula: 0.069 eV/atom
V: 15.9 A^3/atom
Crystal system: monoclinic



5.
Here is a relaxed structure of Ti6Sb3S from Alexandria. Energies are from PBE-GGA.

Geometry as POSCAR:
```
Ti6Sb3S
1.0
-1.9272 5.9358 0.5586
-6.9448 -2.5692 3.3405
4.7021 0.9092 6.5615
Ti Sb S
12 6 2
Cartesian
-1.2983 3.6990 4.0900
-1.9614 3.2082 7.0179
1.2270 0.9099 7.5453
-5.1451 2.5906 2.8424
-5.8882 2.0406 6.1233
0.6872 3.9038 6.1542
1.9701 1.4599 4.2644
3.9038 2.3245 6.6180
-1.9432 0.2507 3.3659
-2.6064 -0.2401 6.2938
-8.0890 1.9985 3.8471
-4.4487 -0.8857 4.1881
-0.7691 -0.8342 8.2948
-3.9215 1.4800 7.9688
-2.5514 2.4941 1.9196
-3.9086 3.6909 5.0776
-0.5394 1.4414 5.4636
0.6009 0.1799 2.2456
1.1035 6.1770 6.6296
-6.1371 0.7590 4.0814
```

Results
Density of states at the Fermi level: 18.5 states/eV per cell
Uncorrected energy: -6.83 eV/atom
V: 20.3 A^3/atom
Formation energy without anion corrections: -0.44 eV per atom
Crystal system: orthorhombic



6.
Here is a relaxed structure of Mg2CdTe from Alexandria. Energies are from PBE-GGA.

Geometry as POSCAR:
```
Mg2CdTe
1.0
-1.7609 0.0265 2.9191
-2.7756 -1.0584 -1.6728
2.3034 -8.3562 1.4652
Cd Te Mg
1 1 2
Cartesian
-0.4665 -7.0523 1.7693
1.0770 -3.9072 0.6851
0.0063 -0.0228 0.0040
-1.6982 -2.5840 0.9858
```

Results
Density of states at the Fermi level: 1.5 states/eV per cell
Uncorrected energy: -1.86 eV/atom
Distance to the lowest polymorph of the same formula: 0.227 eV/atom
V: 25.5 A^3/atom
Formation energy without anion corrections: -0.05 eV per atom
Crystal system: orthorhombic



7.
Here is a relaxed structure of DyTiZnTc from Alexandria. Energies are from PBE-GGA.

Geometry as POSCAR:
```
DyTiZnTc
1.0
4.6792 0.0000 0.0000
2.3396 4.0523 0.0000
2.3396 1.3508 3.8206
Tc Zn Dy Ti
1 1 1 1
Cartesian
0.0000 0.0000 0.0000
4.6792 2.7016 1.9103
2.3396 1.3508 0.9551
7.0188 4.0523 2.8654
```

Results
Density of states at the Fermi level: 4.3 states/eV per cell
Uncorrected energy: -6.15 eV/atom
Formation energy from the elements: -119 meV per atom
V: 18.1 A^3/atom
Crystal system: cubic



8.
Here is a relaxed structure of BaCdTe2 from Alexandria. Energies are from PBE-GGA.

Geometry as POSCAR:
```
BaCdTe2
1.0
7.0160 0.0000 0.0000
3.8561 5.8613 0.0000
-5.4361 -2.9306 3.3294
Te Cd Ba
2 1 1
Cartesian
1.9281 2.9307 1.6647
0.0000 0.0000 0.0000
3.5080 0.0000 1.6647
5.4361 2.9306 0.0000
```

Results
Density of states at the Fermi level: 2.0 states/eV per cell
Uncorrected energy: -2.99 eV/atom
V: 34.2 A^3/atom
Formation energy without anion corrections: -0.71 eV per atom
Crystal system: tetragonal



9.
Here is a relaxed structure of Ag3BiPd4 from Alexandria. Energies are from PBE-GGA.

Geometry as POSCAR:
```
Ag3BiPd4
1.0
-2.6364 5.5634 -0.5574
-2.7893 -5.1500 1.9776
3.9200 -1.8883 4.3911
Pd Ag Bi
4 3 1
Cartesian
0.3979 -1.3004 1.8986
-1.0479 -4.0649 2.8676
-0.9127 1.2874 1.5848
0.9917 -4.9967 5.2433
1.0601 3.0354 3.1663
-2.3080 -1.1292 2.6455
1.0629 0.4003 3.9439
0.9182 -2.5089 4.2381
```

Results
Density of states at the Fermi level: 4.8 states/eV per cell
Uncorrected energy: -4.11 eV/atom
Formation energy from the elements: 39 meV per atom
Distance to the lowest polymorph of the same formula: 0.149 eV/atom
V: 18.4 A^3/atom
Crystal system: orthorhombic



10.
Here is a relaxed structure of BPPdS2 from Alexandria. Energies are from PBE-GGA.

Geometry as POSCAR:
```
BPPdS2
1.0
-3.4456 -2.3650 -0.6684
1.9774 -1.9842 -3.1726
1.3737 -2.7250 2.5605
S B P Pd
2 1 1 1
Cartesian
0.9887 -0.9921 -1.5863
-1.7228 -1.1825 -0.3342
0.0000 0.0000 0.0000
0.6869 -1.3625 1.2803
-0.0473 -3.5371 -0.6402
```

Results
Density of states at the Fermi level: 3.7 states/eV per cell
Uncorrected energy: -4.35 eV/atom
Distance to the lowest polymorph of the same formula: 0.000 eV/atom
V: 14.3 A^3/atom
Formation energy without anion corrections: 0.76 eV per atom
Crystal system: tetragonal



11.
Here is a relaxed structure of Dy4AlTlZn2 from Alexandria. Energies are from PBE-GGA.

Geometry as POSCAR:
```
Dy4AlTlZn2
1.0
5.1412 0.0000 0.0000
2.5706 4.4525 0.0000
2.5706 1.4842 8.4420
Dy Tl Zn Al
4 1 2 1
Cartesian
5.1412 2.9683 1.1427
2.5706 1.4842 5.1982
5.1413 2.9683 7.2993
7.7119 4.4525 3.2438
0.0000 0.0000 0.0000
7.7119 4.4524 6.2810
2.5706 1.4842 2.1610
5.1412 2.9683 4.2210
```

Results
Density of states at the Fermi level: 6.4 states/eV per cell
Uncorrected energy: -3.74 eV/atom
Formation energy from the elements: -355 meV per atom
V: 24.2 A^3/atom
Crystal system: trigonal



12.
Here is a relaxed structure of SrLiN from Alexandria. Energies are from PBE-GGA.

Geometry as POSCAR:
```
SrLiN
1.0
-2.9985 -1.2894 2.0795
1.7205 -3.2188 0.4849
0.4977 2.7354 2.4137
Li Sr N
1 1 1
Cartesian
0.3703 0.5206 2.1418
-0.7921 -2.1393 2.5877
-0.3585 -0.1542 0.2486
```

Results
Uncorrected energy: -4.30 eV/atom
V: 15.1 A^3/atom
Formation energy without anion corrections: -0.33 eV per atom
Crystal system: trigonal